The following is a DFT calculation (PBE) of crystalline TmGaNiPd at its relaxed geometry.

Values from the calculation:
Offset from the most stable computed form = 0.0 kJ/mol of atoms
Crystal system = trigonal
Calculated volume = 69.2 Å³/f.u.

Lattice parameters (Å, degrees): 4.2547 4.2547 8.8226 90.00 90.00 120.00
With the nearest neighbours (Å) after each atom.
Positions (direct):
Tm (0.3333, 0.6667, 0.2628)  4 Ni 2.70-2.87, 3 Pd 2.89
Tm (0.6667, 0.3333, 0.7372)  4 Ni 2.70-2.87, 3 Pd 2.89
Ga (0.0000, 0.0000, 0.0000)  6 Pd 2.58
Ga (0.0000, 0.0000, 0.5000)  6 Ni 2.53
Ni (0.3333, 0.6667, 0.5689)  3 Ga 2.53, 1 Tm 2.70, 3 Ni 2.74
Ni (0.6667, 0.3333, 0.4311)  3 Ga 2.53, 1 Tm 2.70, 3 Ni 2.74
Pd (0.3333, 0.6667, 0.9089)  3 Ga 2.58, 3 Tm 2.89
Pd (0.6667, 0.3333, 0.0911)  3 Ga 2.58, 3 Tm 2.89



The following is a DFT calculation (PBE) of crystalline AgSn at its relaxed geometry.

Values from the calculation:
Electronic total energy = -23.8 eV per cell
Crystal system = cubic
Calculated volume = 60.9 Å³/f.u.

Lattice parameters (Å, degrees): 6.2440 6.2440 6.2440 90.00 90.00 90.00
With the nearest neighbours (Å) after each atom.
Positions (direct):
Ag (0.0000, 0.0000, 0.0000)  4 Sn 2.70
Ag (0.0000, 0.5000, 0.5000)  4 Sn 2.70
Ag (0.5000, 0.0000, 0.5000)  4 Sn 2.70
Ag (0.5000, 0.5000, 0.0000)  4 Sn 2.70
Sn (0.2500, 0.2500, 0.7500)  4 Ag 2.70
Sn (0.2500, 0.7500, 0.2500)  4 Ag 2.70
Sn (0.7500, 0.2500, 0.2500)  4 Ag 2.70
Sn (0.7500, 0.7500, 0.7500)  4 Ag 2.70



The following is a DFT calculation (PBE) of crystalline SrPAu at its relaxed geometry.

Values from the calculation:
Electronic total energy = -37.7 eV per cell
Crystal system = hexagonal
Calculated volume = 66.8 Å³/f.u.

Lattice parameters (Å, degrees): 7.2530 7.2530 4.3991 90.00 90.00 120.00
With the nearest neighbours (Å) after each atom.
Positions (direct):
Sr (0.0000, 0.5908, 0.0000)  5 P 2.97-3.11, 2 Au 3.27
Sr (0.4092, 0.4092, 0.0000)  5 P 2.97-3.11, 2 Au 3.27
Sr (0.5908, 0.0000, 0.0000)  5 P 2.97-3.11, 2 Au 3.27
P (0.0000, 0.0000, 0.0000)  6 Au 2.88, 3 Sr 2.97
P (0.3333, 0.6667, 0.5000)  3 Au 2.74
P (0.6667, 0.3333, 0.5000)  3 Au 2.74
Au (0.0000, 0.2571, 0.5000)  4 P 2.74-2.88
Au (0.2571, 0.0000, 0.5000)  4 P 2.74-2.88
Au (0.7429, 0.7429, 0.5000)  4 P 2.74-2.88



The following is a DFT calculation (PBE) of crystalline Y4Cu3W2N3 at its relaxed geometry.

Values from the calculation:
Electronic total energy = -189.8 eV per cell
Crystal system = monoclinic
Calculated volume = 194.0 Å³/f.u.

Lattice parameters (Å, degrees): 5.7812 5.7812 13.7894 102.91 102.91 60.63
With the nearest neighbours (Å) after each atom.
Positions (direct):
Y (0.0486, 0.1956, 0.1100)  3 N 2.43-2.45
Y (0.1162, 0.2974, 0.3901)  3 N 2.42-2.47
Y (0.1956, 0.0486, 0.6100)  3 N 2.43-2.45
Y (0.2974, 0.1162, 0.8901)  3 N 2.42-2.47
Y (0.7026, 0.8838, 0.1099)  3 N 2.42-2.47
Y (0.8044, 0.9514, 0.3900)  3 N 2.43-2.45
Y (0.8838, 0.7026, 0.6099)  3 N 2.42-2.47
Y (0.9514, 0.8044, 0.8900)  3 N 2.43-2.45
Cu (0.1805, 0.8195, 0.2500)  2 Cu 2.40
Cu (0.3441, 0.4196, 0.7535)  2 Cu 2.39-2.40
Cu (0.4196, 0.3441, 0.2535)  2 Cu 2.39-2.40
Cu (0.5804, 0.6559, 0.7465)  2 Cu 2.39-2.40
Cu (0.6559, 0.5804, 0.2465)  2 Cu 2.39-2.40
Cu (0.8195, 0.1805, 0.7500)  2 Cu 2.40
W (0.3486, 0.5236, 0.0662)  3 N 2.07-2.11
W (0.4764, 0.6514, 0.4338)  3 N 2.07-2.11
W (0.5236, 0.3486, 0.5662)  3 N 2.07-2.11
W (0.6514, 0.4764, 0.9338)  3 N 2.07-2.11
N (0.0000, 0.5000, 0.0000)  2 W 2.07
N (0.1785, 0.6624, 0.5003)  2 W 2.09-2.11
N (0.3376, 0.8215, 0.9997)  2 W 2.09-2.11
N (0.5000, 0.0000, 0.5000)  2 W 2.07
N (0.6624, 0.1785, 0.0003)  2 W 2.09-2.11
N (0.8215, 0.3376, 0.4997)  2 W 2.09-2.11



The following is a DFT calculation (PBE) of crystalline AuC2 at its relaxed geometry.

Values from the calculation:
Offset from the most stable computed form = 0.0 kJ/mol of atoms
Crystal system = tetragonal
Calculated volume = 43.4 Å³/f.u.

Lattice parameters (Å, degrees): 4.0503 4.0503 5.2913 90.00 90.00 90.00
With the nearest neighbours (Å) after each atom.
Positions (direct):
Au (0.0000, 0.0000, 0.0000)  2 C 2.01
Au (0.5000, 0.5000, 0.5000)  2 C 2.01
C (0.0000, 0.0000, 0.3807)  1 C 1.26
C (0.0000, 0.0000, 0.6193)  1 C 1.26
C (0.5000, 0.5000, 0.1193)  1 C 1.26
C (0.5000, 0.5000, 0.8807)  1 C 1.26



The following is a DFT calculation (PBE) of crystalline TmSi at its relaxed geometry.

Values from the calculation:
Electronic total energy = -21.2 eV per cell
Crystal system = hexagonal
Calculated volume = 47.7 Å³/f.u.

Lattice parameters (Å, degrees): 3.7686 3.7686 7.7582 90.00 90.00 120.00
With the nearest neighbours (Å) after each atom.
Positions (direct):
Tm (0.0000, 0.0000, 0.0000)  6 Si 2.91
Tm (0.0000, 0.0000, 0.5000)  6 Si 2.91
Si (0.3333, 0.6667, 0.2500)  6 Tm 2.91
Si (0.6667, 0.3333, 0.7500)  6 Tm 2.91



The following is a DFT calculation (PBE) of crystalline Gd2ErFe6Ni3 at its relaxed geometry.

Values from the calculation:
Crystal system = trigonal
Formation energy = -132 meV/atom
Calculated volume = 178.1 Å³/f.u.

Lattice parameters (Å, degrees): 8.7767 8.7767 8.7767 32.97 32.97 32.97
With the nearest neighbours (Å) after each atom.
Positions (direct):
Gd (0.1413, 0.1413, 0.1413)  9 Fe 2.91-3.12, 3 Ni 2.94, 3 Gd 3.14
Gd (0.8587, 0.8587, 0.8587)  9 Fe 2.91-3.12, 3 Ni 2.94, 3 Gd 3.14
Er (0.0000, 0.0000, 0.0000)  6 Ni 2.88, 12 Fe 3.20
Fe (0.0808, 0.5809, 0.5809)  3 Ni 2.47-2.57, 4 Fe 2.49
Fe (0.4191, 0.4191, 0.9192)  3 Ni 2.47-2.57, 4 Fe 2.49
Fe (0.4191, 0.9192, 0.4191)  3 Ni 2.47-2.57, 4 Fe 2.49
Fe (0.5809, 0.0808, 0.5809)  3 Ni 2.47-2.57, 4 Fe 2.49
Fe (0.5809, 0.5809, 0.0808)  3 Ni 2.47-2.57, 4 Fe 2.49
Fe (0.9192, 0.4191, 0.4191)  3 Ni 2.47-2.57, 4 Fe 2.49
Ni (0.3331, 0.3331, 0.3331)  6 Fe 2.47-2.48
Ni (0.5000, 0.5000, 0.5000)  6 Fe 2.57
Ni (0.6669, 0.6669, 0.6669)  6 Fe 2.47-2.48



The following is a DFT calculation (PBE) of crystalline ScInFeCo at its relaxed geometry.

Values from the calculation:
Offset from the most stable computed form = 9.8 kJ/mol of atoms
Crystal system = cubic
Calculated volume = 64.0 Å³/f.u.

Lattice parameters (Å, degrees): 6.3495 6.3495 6.3495 90.00 90.00 90.00
With the nearest neighbours (Å) after each atom.
Positions (direct):
Sc (0.0000, 0.0000, 0.0000)  4 In 2.75, 4 Fe 2.75
Sc (0.0000, 0.5000, 0.5000)  4 In 2.75, 4 Fe 2.75
Sc (0.5000, 0.0000, 0.5000)  4 In 2.75, 4 Fe 2.75
Sc (0.5000, 0.5000, 0.0000)  4 In 2.75, 4 Fe 2.75
In (0.2500, 0.2500, 0.2500)  4 Co 2.75, 4 Sc 2.75
In (0.2500, 0.7500, 0.7500)  4 Co 2.75, 4 Sc 2.75
In (0.7500, 0.2500, 0.7500)  4 Co 2.75, 4 Sc 2.75
In (0.7500, 0.7500, 0.2500)  4 Co 2.75, 4 Sc 2.75
Fe (0.2500, 0.2500, 0.7500)  4 Co 2.75, 4 Sc 2.75
Fe (0.2500, 0.7500, 0.2500)  4 Co 2.75, 4 Sc 2.75
Fe (0.7500, 0.2500, 0.2500)  4 Co 2.75, 4 Sc 2.75
Fe (0.7500, 0.7500, 0.7500)  4 Co 2.75, 4 Sc 2.75
Co (0.0000, 0.0000, 0.5000)  4 Fe 2.75, 4 In 2.75
Co (0.0000, 0.5000, 0.0000)  4 Fe 2.75, 4 In 2.75
Co (0.5000, 0.0000, 0.0000)  4 Fe 2.75, 4 In 2.75
Co (0.5000, 0.5000, 0.5000)  4 Fe 2.75, 4 In 2.75



The following is a DFT calculation (PBE) of crystalline BaPrPdSe3 at its relaxed geometry.

Values from the calculation:
Electronic total energy = -125.8 eV per cell
Crystal system = orthorhombic
Calculated volume = 173.5 Å³/f.u.

Lattice parameters (Å, degrees): 14.4564 4.3174 11.1210 90.00 90.00 90.00
With the nearest neighbours (Å) after each atom.
Positions (direct):
Ba (0.2292, 0.2500, 0.0403)  7 Se 3.27-3.64, 1 Pd 3.54
Ba (0.2708, 0.7500, 0.5403)  7 Se 3.27-3.64, 1 Pd 3.54
Ba (0.7292, 0.2500, 0.4597)  7 Se 3.27-3.64, 1 Pd 3.54
Ba (0.7708, 0.7500, 0.9597)  7 Se 3.27-3.64, 1 Pd 3.54
Pr (0.0257, 0.2500, 0.3295)  6 Se 2.96-3.04
Pr (0.4743, 0.7500, 0.8295)  6 Se 2.96-3.04
Pr (0.5257, 0.2500, 0.1705)  6 Se 2.96-3.04
Pr (0.9743, 0.7500, 0.6705)  6 Se 2.96-3.04
Pd (0.0044, 0.2500, 0.9152)  3 Se 2.52-2.58
Pd (0.4956, 0.7500, 0.4152)  3 Se 2.52-2.58
Pd (0.5044, 0.2500, 0.5848)  3 Se 2.52-2.58
Pd (0.9956, 0.7500, 0.0848)  3 Se 2.52-2.58
Se (0.0926, 0.7500, 0.8901)  3 Pd 2.52-2.58
Se (0.1031, 0.2500, 0.5767)  3 Pr 2.97-3.04, 2 Ba 3.27
Se (0.1522, 0.7500, 0.2512)  1 Pd 2.92, 2 Pr 2.96
Se (0.3478, 0.2500, 0.7512)  1 Pd 2.92, 2 Pr 2.96
Se (0.3969, 0.7500, 0.0767)  3 Pr 2.97-3.04, 2 Ba 3.27
Se (0.4074, 0.2500, 0.3901)  3 Pd 2.52-2.58
Se (0.5926, 0.7500, 0.6099)  3 Pd 2.52-2.58
Se (0.6031, 0.2500, 0.9233)  3 Pr 2.97-3.04, 2 Ba 3.27
Se (0.6522, 0.7500, 0.2488)  1 Pd 2.92, 2 Pr 2.96
Se (0.8478, 0.2500, 0.7488)  1 Pd 2.92, 2 Pr 2.96
Se (0.8969, 0.7500, 0.4233)  3 Pr 2.97-3.04, 2 Ba 3.27
Se (0.9074, 0.2500, 0.1099)  3 Pd 2.52-2.58



The following is a DFT calculation (PBE) of crystalline Ta4Nb2In3N3 at its relaxed geometry.

Values from the calculation:
Electronic total energy = -212.8 eV per cell
Crystal system = monoclinic
Calculated volume = 187.5 Å³/f.u.

Lattice parameters (Å, degrees): 5.5213 5.5213 14.5561 100.96 100.96 60.02
With the nearest neighbours (Å) after each atom.
Positions (direct):
Ta (0.0174, 0.2031, 0.0813)  3 N 2.15-2.16
Ta (0.1489, 0.3060, 0.4182)  3 N 2.15
Ta (0.2031, 0.0174, 0.5813)  3 N 2.15-2.16
Ta (0.3060, 0.1489, 0.9182)  3 N 2.15
Ta (0.6940, 0.8511, 0.0818)  3 N 2.15
Ta (0.7969, 0.9826, 0.4187)  3 N 2.15-2.16
Ta (0.8511, 0.6940, 0.5818)  3 N 2.15
Ta (0.9826, 0.7969, 0.9187)  3 N 2.15-2.16
Nb (0.3694, 0.5280, 0.0824)  3 N 2.22-2.23
Nb (0.4720, 0.6306, 0.4176)  3 N 2.22-2.23
Nb (0.5280, 0.3694, 0.5824)  3 N 2.22-2.23
Nb (0.6306, 0.4720, 0.9176)  3 N 2.22-2.23
In (0.0830, 0.9170, 0.2500)  2 Nb 3.02, 4 Ta 3.03-3.04, 6 In 3.19
In (0.2496, 0.4156, 0.7481)  2 Nb 3.00, 4 Ta 3.01, 6 In 3.19
In (0.4156, 0.2496, 0.2481)  2 Nb 3.00, 4 Ta 3.01, 6 In 3.19
In (0.5844, 0.7504, 0.7519)  2 Nb 3.00, 4 Ta 3.01, 6 In 3.19
In (0.7504, 0.5844, 0.2519)  2 Nb 3.00, 4 Ta 3.01, 6 In 3.19
In (0.9170, 0.0830, 0.7500)  2 Nb 3.02, 4 Ta 3.03-3.04, 6 In 3.19
N (0.0000, 0.5000, 0.0000)  4 Ta 2.15, 2 Nb 2.22
N (0.1475, 0.6753, 0.5000)  4 Ta 2.15-2.16, 2 Nb 2.23
N (0.3247, 0.8525, 0.0000)  4 Ta 2.15-2.16, 2 Nb 2.23
N (0.5000, 0.0000, 0.5000)  4 Ta 2.15, 2 Nb 2.22
N (0.6753, 0.1475, 0.0000)  4 Ta 2.15-2.16, 2 Nb 2.23
N (0.8525, 0.3247, 0.5000)  4 Ta 2.15-2.16, 2 Nb 2.23



The following is a DFT calculation (PBE) of crystalline YNb2Ga2 at its relaxed geometry.

Values from the calculation:
Electronic total energy = -69.2 eV per cell
Crystal system = tetragonal
Calculated volume = 98.6 Å³/f.u.

Lattice parameters (Å, degrees): 3.9764 3.9764 12.4699 90.00 90.00 90.00
With the nearest neighbours (Å) after each atom.
Positions (direct):
Y (0.0000, 0.0000, 0.0000)  8 Ga 3.07
Y (0.5000, 0.5000, 0.5000)  8 Ga 3.07
Nb (0.0000, 0.5000, 0.2500)  4 Ga 2.74, 4 Nb 2.81
Nb (0.0000, 0.5000, 0.7500)  4 Ga 2.74, 4 Nb 2.81
Nb (0.5000, 0.0000, 0.2500)  4 Ga 2.74, 4 Nb 2.81
Nb (0.5000, 0.0000, 0.7500)  4 Ga 2.74, 4 Nb 2.81
Ga (0.0000, 0.0000, 0.4011)  1 Ga 2.47, 4 Nb 2.74
Ga (0.0000, 0.0000, 0.5989)  1 Ga 2.47, 4 Nb 2.74
Ga (0.5000, 0.5000, 0.0989)  1 Ga 2.47, 4 Nb 2.74
Ga (0.5000, 0.5000, 0.9011)  1 Ga 2.47, 4 Nb 2.74